Material: Ca2In3Ge
Method: DFT, PBE
State: optimized geometry

a = 4.3419 Å, b = 4.7934 Å, c = 8.0474 Å
α = 90.00°, β = 90.00°, γ = 90.00°
Element x y z (fractional)
Ca 0.0000 0.5000 0.0224
Ca 0.0000 0.0000 0.4868
In 0.5000 0.0000 0.8294
In 0.5000 0.0000 0.1753
In 0.5000 0.5000 0.6576
Ge 0.5000 0.5000 0.3284

final energy: -3.122 eV/atom
density: 4.93 g cm⁻³
spin magnetization: 0.000 Bohr magnetons per cell
D(E_F): 2.99 states/eV per cell